The following is a DFT calculation (PBE+U) of an optimized crystal structure of HfCo2F. Values from VASP.

**Energy**: -5.63 eV/atom
**Density of states at the Fermi level**: 5.83 states/eV/cell

Quantum ESPRESSO input file:
```
&SYSTEM
  ibrav = 0, nat = 8, ntyp = 3
/
ATOMIC_SPECIES
Co 58.93 Co.upf
Hf 178.49 Hf.upf
F 19.00 F.upf
ATOMIC_POSITIONS angstrom
Co -1.643 -4.712 -1.713
Co 2.861 -4.761 -1.212
Co 1.076 -7.652 -1.466
Co 1.239 -11.775 -3.339
Hf 0.000 0.000 0.000
Hf -1.561 -7.424 -2.308
F 0.670 -4.497 -1.986
F 3.327 -7.027 -1.558
CELL_PARAMETERS angstrom
-4.218 -4.893 -2.736
5.558 -4.100 -1.236
0.427 -5.457 0.107
```